[1]
A plane-wave DFT calculation with meta-GGA SCAN was carried out for a crystal of Ta2Re3 relaxed with PBEsol.

Unit cell a=2.914 b=2.914 c=11.027 alpha=82.41 beta=82.41 gamma=60.00
Positions (direct):
Re 0.198 0.198 0.406
Re 0.802 0.802 0.594
Re 0.000 0.000 0.000
Ta 0.399 0.399 0.802
Ta 0.601 0.601 0.198

Properties
ΔE_f   0.10 eV/atom
Total moment   0.000 μB per formula unit
Uncorrected energy   -69.191 eV per atom
Density   19.07 g/cm³

=====

[2]
A plane-wave DFT calculation with meta-GGA SCAN was carried out for a crystal of Ta2Re relaxed with PBEsol.

Unit cell a=3.191 b=4.509 c=7.022 alpha=90.00 beta=103.13 gamma=90.00
Positions (direct):
Re 0.083 0.250 0.165
Re 0.917 0.750 0.835
Ta 0.580 0.750 0.160
Ta 0.420 0.250 0.840
Ta 0.255 0.750 0.509
Ta 0.745 0.250 0.491

Properties
ΔE_f   -0.42 eV/atom
Total moment   0.000 μB per formula unit
Uncorrected energy   -68.504 eV per atom
Density   18.50 g/cm³

=====

[3]
A plane-wave DFT calculation with meta-GGA SCAN was carried out for a crystal of Ta4Re relaxed with PBEsol.

Unit cell a=5.141 b=5.141 c=5.141 alpha=109.47 beta=109.47 gamma=109.47
Positions (direct):
Ta 0.500 0.000 0.000
Ta 0.000 0.000 0.500
Ta 0.500 0.500 0.500
Ta 0.000 0.500 0.000
Re 0.000 0.000 0.000

Properties
ΔE_f   0.96 eV/atom
Total moment   0.001 μB per formula unit
Uncorrected energy   -66.531 eV per atom
Density   14.45 g/cm³

=====

[4]
A plane-wave DFT calculation with meta-GGA SCAN was carried out for a crystal of Ta3Re relaxed with PBEsol.

Unit cell a=3.200 b=4.527 c=5.373 alpha=114.92 beta=107.32 gamma=90.00
Positions (direct):
Ta 0.742 0.242 0.484
Ta 0.258 0.758 0.516
Ta 0.500 0.500 0.000
Re 0.000 0.000 0.000

Properties
ΔE_f   -0.32 eV/atom
Total moment   0.000 μB per formula unit
Uncorrected energy   -68.029 eV per atom
Density   18.15 g/cm³

=====

[5]
A plane-wave DFT calculation with meta-GGA SCAN was carried out for a crystal of Ta5Re24 relaxed with PBEsol.

Unit cell a=8.317 b=8.317 c=8.317 alpha=109.47 beta=109.47 gamma=109.47
Positions (direct):
Re 0.599 0.282 0.599
Re 0.377 0.000 0.194
Re 0.000 0.683 0.401
Re 0.000 0.377 0.194
Re 0.718 0.317 0.317
Re 0.183 0.806 0.806
Re 0.282 0.599 0.599
Re 0.000 0.401 0.683
Re 0.623 0.623 0.817
Re 0.317 0.718 0.317
Re 0.683 0.000 0.401
Re 0.817 0.623 0.623
Re 0.000 0.194 0.377
Re 0.401 0.683 0.000
Re 0.623 0.817 0.623
Re 0.194 0.000 0.377
Re 0.806 0.806 0.183
Re 0.683 0.401 0.000
Re 0.401 0.000 0.683
Re 0.599 0.599 0.282
Re 0.317 0.317 0.718
Re 0.194 0.377 0.000
Re 0.806 0.183 0.806
Re 0.377 0.194 0.000
Ta 0.635 0.000 0.000
Ta 0.365 0.365 0.365
Ta 0.000 0.635 0.000
Ta 0.000 0.000 0.635
Ta 0.000 0.000 0.000

Properties
ΔE_f   -0.22 eV/atom
Total moment   0.000 μB per formula unit
Uncorrected energy   -70.542 eV per atom
Density   20.15 g/cm³

=====

[6]
A plane-wave DFT calculation with meta-GGA SCAN was carried out for a crystal of Ta4Re relaxed with PBEsol.

Unit cell a=3.180 b=5.388 c=5.388 alpha=85.00 beta=72.84 gamma=72.84
Positions (direct):
Ta 0.207 0.198 0.389
Ta 0.793 0.802 0.611
Ta 0.595 0.611 0.198
Ta 0.405 0.389 0.802
Re 0.000 0.000 0.000

Properties
ΔE_f   -0.25 eV/atom
Total moment   0.000 μB per formula unit
Uncorrected energy   -67.738 eV per atom
Density   17.93 g/cm³

=====

[7]
A plane-wave DFT calculation with meta-GGA SCAN was carried out for a crystal of Ta3Re relaxed with PBEsol.

Unit cell a=4.543 b=4.543 c=4.543 alpha=60.00 beta=60.00 gamma=60.00
Positions (direct):
Ta 0.250 0.250 0.250
Ta 0.750 0.750 0.750
Ta 0.500 0.500 0.500
Re 0.000 0.000 0.000

Properties
ΔE_f   -0.28 eV/atom
Total moment   0.000 μB per formula unit
Uncorrected energy   -67.991 eV per atom
Density   18.26 g/cm³

=====

[8]
A plane-wave DFT calculation with meta-GGA SCAN was carried out for a crystal of Ta3Re relaxed with PBEsol.

Unit cell a=2.837 b=4.506 c=5.294 alpha=90.00 beta=100.74 gamma=90.00
Positions (direct):
Ta 0.759 0.500 0.245
Ta 0.241 0.500 0.755
Ta 0.500 0.000 0.500
Re 0.000 0.000 0.000

Properties
ΔE_f   -0.24 eV/atom
Total moment   0.000 μB per formula unit
Uncorrected energy   -67.954 eV per atom
Density   18.21 g/cm³

=====

[9]
A plane-wave DFT calculation with meta-GGA SCAN was carried out for a crystal of Ta2ReTc relaxed with PBEsol.

Unit cell a=4.471 b=4.471 c=4.471 alpha=60.00 beta=60.00 gamma=60.00
Positions (direct):
Tc 0.000 0.000 0.000
Ta 0.250 0.250 0.250
Ta 0.750 0.750 0.750
Re 0.500 0.500 0.500

Properties
ΔE_f   -0.58 eV/atom
Total moment   0.000 μB per formula unit
Uncorrected energy   -60.412 eV per atom
Density   16.98 g/cm³

=====

[10]
A plane-wave DFT calculation with meta-GGA SCAN was carried out for a crystal of TaRe3Tc relaxed with PBEsol.

Unit cell a=4.632 b=4.632 c=4.632 alpha=90.00 beta=90.00 gamma=90.00
Each line ends with the local moment (μB).
Positions (direct):
Tc 0.500 0.500 0.500  3.23
Re 0.000 0.500 0.000  -0.35
Re 0.500 0.000 0.000  -0.35
Re 0.000 0.000 0.500  -0.35
Ta 0.000 0.000 0.000  0.04

Properties
ΔE_f   2.51 eV/atom
Total moment   2.114 μB per formula unit
Uncorrected energy   -60.474 eV per atom
Density   13.99 g/cm³

=====

[11]
A plane-wave DFT calculation with meta-GGA SCAN was carried out for a crystal of Ta2ReTc relaxed with PBEsol.

Unit cell a=3.161 b=3.161 c=6.322 alpha=90.00 beta=90.00 gamma=90.00
Positions (direct):
Tc 0.500 0.500 0.000
Ta 0.000 0.000 0.751
Ta 0.000 0.000 0.249
Re 0.500 0.500 0.500

Properties
ΔE_f   -0.58 eV/atom
Total moment   0.000 μB per formula unit
Uncorrected energy   -60.409 eV per atom
Density   16.98 g/cm³

=====

[12]
A plane-wave DFT calculation with meta-GGA SCAN was carried out for a crystal of TaRe2TcTe relaxed with PBEsol.

Unit cell a=4.612 b=4.612 c=4.828 alpha=90.00 beta=90.00 gamma=90.00
Positions (direct):
Re 0.000 0.500 0.000
Re 0.500 0.000 0.000
Ta 0.500 0.500 0.500
Tc 0.000 0.000 0.000
Te 0.000 0.000 0.500

Properties
Formation energy (no corrections)   2065 meV/atom
Total moment   0.003 μB per formula unit
Uncorrected energy   -54.153 eV per atom
Density   12.59 g/cm³